{"formula": "Th3Co5Se12", "functional": "PBE", "state": "relaxed", "lattice_angstrom": [[-5.3997, -9.6813, -7.4231], [13.1292, 0.5685, -2.2994], [-2.1457, -2.5760, 12.9130]], "species": ["Co", "Co", "Co", "Co", "Co", "Co", "Co", "Co", "Co", "Co", "Co", "Co", "Co", "Co", "Co", "Co", "Co", "Co", "Co", "Co", "Se", "Se", "Se", "Se", "Se", "Se", "Se", "Se", "Se", "Se", "Se", "Se", "Se", "Se", "Se", "Se", "Se", "Se", "Se", "Se", "Se", "Se", "Se", "Se", "Se", "Se", "Se", "Se", "Se", "Se", "Se", "Se", "Se", "Se", "Se", "Se", "Se", "Se", "Se", "Se", "Se", "Se", "Se", "Se", "Se", "Se", "Se", "Se", "Th", "Th", "Th", "Th", "Th", "Th", "Th", "Th", "Th", "Th", "Th", "Th"], "fractional_positions": [[0.1250, 0.3750, 0.2500], [0.0000, 0.5000, 0.0000], [0.0000, 0.0000, 0.0000], [0.3750, 0.2500, 0.1250], [0.5000, 0.0000, 0.5000], [0.5000, 0.5000, 0.0000], [0.1250, 0.7500, 0.3750], [0.7500, 0.1250, 0.8750], [0.7500, 0.6250, 0.3750], [0.3750, 0.1250, 0.7500], [0.6250, 0.8750, 0.2500], [0.5000, 0.5000, 0.5000], [0.5000, 0.0000, 0.0000], [0.0000, 0.0000, 0.5000], [0.2500, 0.3750, 0.6250], [0.2500, 0.8750, 0.1250], [0.0000, 0.5000, 0.5000], [0.8750, 0.2500, 0.6250], [0.6250, 0.7500, 0.8750], [0.8750, 0.6250, 0.7500], [0.7004, 0.1142, 0.0247], [0.3243, 0.5247, 0.4105], [0.9753, 0.3858, 0.2996], [0.5247, 0.2004, 0.1142], [0.5862, 0.7004, 0.6757], [0.9753, 0.5895, 0.1757], [0.3243, 0.7996, 0.4138], [0.0895, 0.9138, 0.1142], [0.5895, 0.9753, 0.6757], [0.7004, 0.5862, 0.1757], [0.7996, 0.4753, 0.3858], [0.8243, 0.9105, 0.0247], [0.1142, 0.7004, 0.5247], [0.3858, 0.4105, 0.0862], [0.0862, 0.9105, 0.3858], [0.4138, 0.1142, 0.5895], [0.0862, 0.1757, 0.2004], [0.4753, 0.6757, 0.0895], [0.8243, 0.9138, 0.2996], [0.1142, 0.4138, 0.0895], [0.3858, 0.9753, 0.7996], [0.5895, 0.6142, 0.4138], [0.9105, 0.8243, 0.5247], [0.7996, 0.3243, 0.9138], [0.4105, 0.3858, 0.5862], [0.0895, 0.1757, 0.4753], [0.2004, 0.6757, 0.0862], [0.1757, 0.0862, 0.7004], [0.6142, 0.0247, 0.2004], [0.8858, 0.5862, 0.9105], [0.5247, 0.3243, 0.9105], [0.5862, 0.8858, 0.4105], [0.9138, 0.8243, 0.7996], [0.9138, 0.0895, 0.6142], [0.8858, 0.2996, 0.4753], [0.1757, 0.0895, 0.9753], [0.6142, 0.5895, 0.9138], [0.4105, 0.0247, 0.3243], [0.2996, 0.4138, 0.8243], [0.2004, 0.5247, 0.6142], [0.9105, 0.0862, 0.8858], [0.6757, 0.2004, 0.5862], [0.4753, 0.7996, 0.8858], [0.0247, 0.4105, 0.8243], [0.4138, 0.2996, 0.3243], [0.0247, 0.6142, 0.7004], [0.6757, 0.4753, 0.5895], [0.2996, 0.8858, 0.9753], [0.7500, 0.3750, 0.1250], [0.8750, 0.7500, 0.1250], [0.3750, 0.7500, 0.6250], [0.2500, 0.1250, 0.3750], [0.8750, 0.1250, 0.2500], [0.3750, 0.6250, 0.2500], [0.6250, 0.3750, 0.7500], [0.1250, 0.8750, 0.7500], [0.7500, 0.8750, 0.6250], [0.6250, 0.2500, 0.3750], [0.1250, 0.2500, 0.8750], [0.2500, 0.6250, 0.8750]], "spacegroup": "No. 230", "raw_formation_energy_ev_per_atom": -0.78}